Density functional theory data (PBE) for a relaxed structure of K3Ba3OsO8.

Cell lengths 7.5896, 7.5896, 7.6767 Å; angles 119.63, 90.00, 120.00 degrees
Closest atoms and distances in Å follow each position.
Fractional coordinates of all 15 atoms:
O1 0.1796 0.3592 0.6739  1 Os 1.94
O2 0.8147 0.9943 0.6739  1 Os 1.94
O3 0.8204 0.0057 0.3261  1 Os 1.94
O4 0.2601 0.5201 0.2802  3 Ba 2.59, 3 K 2.81
O5 0.7399 0.4799 0.7198  3 Ba 2.59, 3 K 2.81
O6 0.8204 0.6408 0.3261  1 Os 1.94
O7 0.1853 0.0057 0.3261  1 Os 1.94
O8 0.1796 0.9943 0.6739  1 Os 1.94
Ba1 0.5000 0.0000 0.5000  6 O 2.59-2.77
Ba2 0.5000 0.5000 0.5000  6 O 2.59-2.77
Ba3 0.0000 0.5000 0.5000  6 O 2.59-2.77
K1 0.0000 0.0000 0.0000  6 O 2.81-2.84
K2 0.5000 0.5000 0.0000  6 O 2.81-2.84
K3 0.0000 0.5000 0.0000  6 O 2.81-2.84
Os1 0.0000 0.0000 0.5000  6 O 1.94

D(E_F) = 0.38 states/eV/atom
SG = No. 166
E_form (uncorrected) = -1.8037 eV/atom
Total moment = 0.069 μB/atom

***

Density functional theory data (PBE) for a relaxed structure of K2BaOsO6.

Cell lengths 6.2109, 6.2109, 6.2109 Å; angles 61.59, 61.59, 61.59 degrees
Closest atoms and distances in Å follow each position.
Fractional coordinates of all 10 atoms:
O1 0.7272 0.8611 0.1955  1 Os 1.88
O2 0.1390 0.8046 0.2729  1 Os 1.88
O3 0.2729 0.1390 0.8046  1 Os 1.88
O4 0.1955 0.7272 0.8611  1 Os 1.88
O5 0.8611 0.1955 0.7272  1 Os 1.88
O6 0.8046 0.2729 0.1390  1 Os 1.88
K1 0.2409 0.2409 0.2409  6 O 2.79-2.96
K2 0.7591 0.7591 0.7591  6 O 2.79-2.96
Os1 0.0001 0.0001 0.0001  6 O 1.88
Ba1 0.5000 0.5000 0.5000  6 O 2.65

SG = No. 148
E_form (uncorrected) = -1.6149 eV/atom
Total moment = 0.000 μB/atom